Below is crystalline Ca2TaSe at its relaxed geometry, with properties calculated at the GGA-PBEsol level.

Output
* energy: -4.996 eV/atom
* formation energy from raw total energies: 0.171 eV/atom

Cell lengths 5.0852, 5.0852, 3.6923 Å; angles 90.00, 90.00, 90.00 degrees
Positions (direct):
Ca 0.0000 0.5000 0.0000
Ca 0.5000 0.0000 0.0000
Ta 0.0000 0.0000 0.5000
Se 0.5000 0.5000 0.5000